Record 1
A plane-wave DFT calculation with GGA-PBEsol was carried out for an optimized crystal structure of Ba2Ta2O7.

Values from the calculation:
The value obtained for the energy above the most stable polymorph in this dataset is 0.46 eV/f.u.

a b c (Å): 7.6379 7.6860 7.6860
angles (deg): 62.44 60.21 60.21
Closest atoms and distances in Å follow each position.
Atoms (fractional coordinates):
O1 0.3084 0.2996 0.4631  2 Ta 2.00-2.03
O2 0.6916 0.7004 0.5369  2 Ta 2.00-2.03
O3 0.4289 0.9631 0.7996  2 Ta 2.00-2.03
O4 0.8084 0.9631 0.7996  2 Ta 2.00-2.03
O5 0.4092 0.3010 0.8806  1 Ta 1.94
O6 0.7500 0.0851 0.4149  2 Ta 2.03
O7 0.5908 0.6990 0.1194  1 Ta 1.94
O8 0.9289 0.2996 0.4631  2 Ta 2.00-2.03
O9 0.9092 0.3806 0.8010  1 Ta 1.94
O10 0.5711 0.0369 0.2004  2 Ta 2.00-2.03
O11 0.0908 0.6194 0.1990  1 Ta 1.94
O12 0.0711 0.7004 0.5369  2 Ta 2.00-2.03
O13 0.1916 0.0369 0.2004  2 Ta 2.00-2.03
O14 0.2500 0.9149 0.5851  2 Ta 2.03
Ta1 0.0000 0.0000 0.5000  6 O 2.00-2.03
Ta2 0.5000 0.0000 0.0000  6 O 1.94-2.03
Ta3 0.5000 0.0000 0.5000  6 O 2.00-2.03
Ta4 0.0000 0.5000 0.5000  6 O 1.94-2.03
Ba1 0.5000 0.5000 0.0000  4 O 2.58
Ba2 0.0000 0.0000 0.0000  6 O 2.51-2.77
Ba3 0.0000 0.5000 0.0000  4 O 2.58
Ba4 0.5000 0.5000 0.5000  6 O 2.51-2.77



Record 2
A plane-wave DFT calculation with GGA-PBEsol was carried out for an optimized crystal structure of Ba4Ta2O9.

Values from the calculation:
The value obtained for the energy above the most stable polymorph in this dataset is 1.25 eV/f.u.

a b c (Å): 6.1877 6.1877 15.5684
angles (deg): 90.00 90.00 120.00
Closest atoms and distances in Å follow each position.
Atoms (fractional coordinates):
Ba1 0.6667 0.3333 0.4673  6 O 2.65-2.88
Ba2 0.6667 0.3333 0.2055  6 O 2.52-2.69
Ba3 0.3333 0.6667 0.7945  6 O 2.52-2.69
Ba4 0.6667 0.3333 0.7055  6 O 2.52-2.69
Ba5 0.3333 0.6667 0.2945  6 O 2.52-2.69
Ba6 0.6667 0.3333 0.9673  6 O 2.65-2.88
Ba7 0.3333 0.6667 0.0327  6 O 2.65-2.88
Ba8 0.3333 0.6667 0.5327  6 O 2.65-2.88
O1 0.2350 0.2350 0.7500  2 Ta 2.12
O2 0.7013 0.7468 0.9045  1 Ta 1.93
O3 0.2987 0.2532 0.0955  1 Ta 1.93
O4 0.9545 0.7013 0.0955  1 Ta 1.93
O5 0.0455 0.2987 0.9045  1 Ta 1.93
O6 0.0455 0.7468 0.4045  1 Ta 1.93
O7 0.7468 0.0455 0.0955  1 Ta 1.93
O8 0.0000 0.2350 0.2500  2 Ta 2.12
O9 0.7013 0.9545 0.4045  1 Ta 1.93
O10 0.2532 0.9545 0.9045  1 Ta 1.93
O11 0.2532 0.2987 0.4045  1 Ta 1.93
O12 0.0000 0.7650 0.7500  2 Ta 2.12
O13 0.2987 0.0455 0.5955  1 Ta 1.93
O14 0.2350 0.0000 0.2500  2 Ta 2.12
O15 0.7468 0.7013 0.5955  1 Ta 1.93
O16 0.9545 0.2532 0.5955  1 Ta 1.93
O17 0.7650 0.0000 0.7500  2 Ta 2.12
O18 0.7650 0.7650 0.2500  2 Ta 2.12
Ta1 0.0000 0.0000 0.3488  6 O 1.93-2.12
Ta2 0.0000 0.0000 0.6512  6 O 1.93-2.12
Ta3 0.0000 0.0000 0.1512  6 O 1.93-2.12
Ta4 0.0000 0.0000 0.8488  6 O 1.93-2.12



Record 3
A plane-wave DFT calculation with GGA-PBEsol was carried out for an optimized crystal structure of Ba3Ta5O15.

a b c (Å): 3.9809 12.6233 12.6233
angles (deg): 90.00 90.00 90.00
Closest atoms and distances in Å follow each position.
Atoms (fractional coordinates):
Ta1 0.5000 0.4229 0.2874  6 O 1.96-2.04
Ta2 0.5000 0.0771 0.7874  6 O 1.96-2.04
Ta3 0.5000 0.2874 0.5771  6 O 1.96-2.04
Ta4 0.5000 0.7126 0.4229  6 O 1.96-2.04
Ta5 0.5000 0.2126 0.0771  6 O 1.96-2.04
Ta6 0.5000 0.7874 0.9229  6 O 1.96-2.04
Ta7 0.5000 0.5771 0.7126  6 O 1.96-2.04
Ta8 0.5000 0.9229 0.2126  6 O 1.96-2.04
Ta9 0.5000 0.0000 0.5000  6 O 1.98-1.99
Ta10 0.5000 0.5000 0.0000  6 O 1.98-1.99
O1 0.0000 0.2919 0.5786  2 Ta 1.99
O2 0.5000 0.1404 0.9325  2 Ta 2.00-2.04
O3 0.5000 0.9325 0.8596  2 Ta 2.00-2.04
O4 0.5000 0.5675 0.3596  2 Ta 2.00-2.04
O5 0.5000 0.7803 0.2803  2 Ta 1.99
O6 0.0000 0.7919 0.9214  2 Ta 1.99
O7 0.5000 0.5067 0.1567  2 Ta 1.96-1.98
O8 0.0000 0.4214 0.2919  2 Ta 1.99
O9 0.5000 0.4933 0.8433  2 Ta 1.96-1.98
O10 0.5000 0.4325 0.6404  2 Ta 2.00-2.04
O11 0.5000 0.0067 0.3433  2 Ta 1.96-1.98
O12 0.0000 0.5000 0.0000  2 Ta 1.99
O13 0.5000 0.0675 0.1404  2 Ta 2.00-2.04
O14 0.5000 0.6567 0.0067  2 Ta 1.96-1.98
O15 0.5000 0.2803 0.2197  2 Ta 1.99
O16 0.0000 0.9214 0.2081  2 Ta 1.99
O17 0.5000 0.2197 0.7197  2 Ta 1.99
O18 0.0000 0.0000 0.5000  2 Ta 1.99
O19 0.5000 0.8433 0.5067  2 Ta 1.96-1.98
O20 0.5000 0.1567 0.4933  2 Ta 1.96-1.98
O21 0.0000 0.7081 0.4214  2 Ta 1.99
O22 0.5000 0.3596 0.4325  2 Ta 2.00-2.04
O23 0.5000 0.9933 0.6567  2 Ta 1.96-1.98
O24 0.5000 0.3433 0.9933  2 Ta 1.96-1.98
O25 0.0000 0.0786 0.7919  2 Ta 1.99
O26 0.5000 0.6404 0.5675  2 Ta 2.00-2.04
O27 0.0000 0.5786 0.7081  2 Ta 1.99
O28 0.5000 0.7197 0.7803  2 Ta 1.99
O29 0.5000 0.8596 0.0675  2 Ta 2.00-2.04
O30 0.0000 0.2081 0.0786  2 Ta 1.99
Ba1 0.0000 0.8316 0.6684  7 O 2.82-3.01
Ba2 0.0000 0.0000 0.0000  12 O 2.80-2.81
Ba3 0.0000 0.6684 0.1684  7 O 2.82-3.01
Ba4 0.0000 0.5000 0.5000  12 O 2.80-2.81
Ba5 0.0000 0.1684 0.3316  7 O 2.82-3.01
Ba6 0.0000 0.3316 0.8316  7 O 2.82-3.01



Record 4
A plane-wave DFT calculation with GGA-PBEsol was carried out for an optimized crystal structure of Ba2Ta2O7.

Values from the calculation:
The value obtained for the energy above the most stable polymorph in this dataset is 0.00 eV/f.u.

a b c (Å): 4.0395 5.8636 13.8710
angles (deg): 90.00 98.37 90.00
Closest atoms and distances in Å follow each position.
Atoms (fractional coordinates):
O1 0.1007 0.9995 0.2015  1 Ta 1.91
O2 0.8993 0.4995 0.7985  1 Ta 1.91
O3 0.8993 0.0005 0.7985  1 Ta 1.91
O4 0.7934 0.9785 0.5869  1 Ta 1.85
O5 0.1007 0.5005 0.2015  1 Ta 1.91
O6 0.2066 0.0215 0.4131  1 Ta 1.85
O7 0.3488 0.7500 0.6977  2 Ta 2.03
O8 0.2066 0.4785 0.4131  1 Ta 1.85
O9 0.7934 0.5215 0.5869  1 Ta 1.85
O10 0.0000 0.0000 0.0000  2 Ta 2.12
O11 0.4504 0.2500 0.9008  2 Ta 2.03
O12 0.0000 0.5000 0.0000  2 Ta 2.12
O13 0.5496 0.7500 0.0992  2 Ta 2.03
O14 0.6512 0.2500 0.3023  2 Ta 2.03
Ta1 0.9442 0.2500 0.8883  6 O 1.91-2.12
Ta2 0.1602 0.2500 0.3204  4 O 1.85-2.03
Ta3 0.8398 0.7500 0.6796  4 O 1.85-2.03
Ta4 0.0558 0.7500 0.1117  6 O 1.91-2.12
Ba1 0.2937 0.2500 0.5874  6 O 2.57-2.74
Ba2 0.4474 0.7500 0.8947  12 O 2.70-2.93
Ba3 0.5526 0.2500 0.1053  12 O 2.70-2.93
Ba4 0.7063 0.7500 0.4126  6 O 2.57-2.74



What are the raw formation energy values for these records? In order: -2.9819 -2.8748 -3.0094 -3.0238 eV/atom.
What are the density values for these records? In order: 7.636 6.789 8.150 7.648 Mg/m³.
What are the total moment values for these records? In order: 0.00 0.00 0.00 0.00 μB/f.u..